Entry 1:
VASP calculation (GGA-PBE) on a relaxed TiCoGe2C crystal.

Calculated formation energy = 0.555 eV/atom
M_tot = 0.10 μB/atom
DOS(E_F) = 4.23 states/eV/cell
E_tot = -6.137 eV/atom

a = 4.174 Å, b = 4.174 Å, c = 4.021 Å
α = 90.00°, β = 90.00°, γ = 90.00°
Fractional positions:
Ti1 0.000 0.000 0.000
Co1 0.500 0.500 0.000
Ge1 0.000 0.500 0.500
Ge2 0.500 0.000 0.500
C1 0.000 0.000 0.500

***

Entry 2:
VASP calculation (GGA-PBE) on a relaxed Tm4Co12GeC3 crystal.

Calculated formation energy = -0.164 eV/atom
M_tot = 0.00 μB/atom
DOS(E_F) = 12.02 states/eV/cell
E_tot = -6.937 eV/atom

a = 6.927 Å, b = 6.927 Å, c = 6.927 Å
α = 109.47°, β = 109.47°, γ = 109.47°
Fractional positions:
Tm1 0.000 0.000 0.500
Tm2 0.000 0.500 0.000
Tm3 0.500 0.000 0.000
Tm4 0.500 0.500 0.500
Co1 0.000 0.278 0.278
Co2 0.000 0.722 0.722
Co3 0.250 0.500 0.750
Co4 0.250 0.750 0.500
Co5 0.278 0.000 0.278
Co6 0.278 0.278 0.000
Co7 0.500 0.250 0.750
Co8 0.500 0.750 0.250
Co9 0.722 0.000 0.722
Co10 0.722 0.722 0.000
Co11 0.750 0.250 0.500
Co12 0.750 0.500 0.250
Ge1 0.000 0.000 0.000
C1 0.000 0.500 0.500
C2 0.500 0.000 0.500
C3 0.500 0.500 0.000

***

Entry 3:
VASP calculation (GGA-PBE) on a relaxed UCo2GeC crystal.

Calculated formation energy = -0.273 eV/atom
M_tot = 0.41 μB/atom
DOS(E_F) = 13.47 states/eV/cell
E_tot = -8.141 eV/atom

a = 5.771 Å, b = 5.771 Å, c = 6.739 Å
α = 90.00°, β = 90.00°, γ = 142.96°
Fractional positions:
U1 0.047 0.953 0.750
U2 0.953 0.047 0.250
Co1 0.337 0.663 0.551
Co2 0.337 0.663 0.949
Co3 0.663 0.337 0.051
Co4 0.663 0.337 0.449
Ge1 0.227 0.773 0.250
Ge2 0.773 0.227 0.750
C1 0.500 0.500 0.000
C2 0.500 0.500 0.500

***

Entry 4:
VASP calculation (GGA-PBE) on a relaxed VCoGeC2 crystal.

Calculated formation energy = 1.293 eV/atom
M_tot = 0.20 μB/atom
DOS(E_F) = 4.68 states/eV/cell
E_tot = -6.565 eV/atom

a = 3.563 Å, b = 3.563 Å, c = 5.189 Å
α = 90.00°, β = 90.00°, γ = 90.00°
Fractional positions:
V1 0.000 0.000 0.000
Co1 0.000 0.000 0.500
Ge1 0.500 0.500 0.000
C1 0.000 0.500 0.500
C2 0.500 0.000 0.500

***

Entry 5:
VASP calculation (GGA-PBE) on a relaxed VCo2GeC crystal.

Calculated formation energy = -0.095 eV/atom
M_tot = 0.42 μB/atom
DOS(E_F) = 5.11 states/eV/cell
E_tot = -7.529 eV/atom

a = 3.773 Å, b = 3.773 Å, c = 3.965 Å
α = 90.00°, β = 90.00°, γ = 90.00°
Fractional positions:
V1 0.000 0.000 0.000
Co1 0.000 0.500 0.500
Co2 0.500 0.000 0.500
Ge1 0.500 0.500 0.000
C1 0.000 0.000 0.500

***

Entry 6:
VASP calculation (GGA-PBE) on a relaxed YCo2GeC crystal.

Calculated formation energy = -0.484 eV/atom
M_tot = 0.00 μB/atom
DOS(E_F) = 4.73 states/eV/cell
E_tot = -7.388 eV/atom

a = 5.651 Å, b = 5.651 Å, c = 6.861 Å
α = 90.00°, β = 90.00°, γ = 141.06°
Fractional positions:
Y1 0.050 0.950 0.750
Y2 0.950 0.050 0.250
Co1 0.340 0.660 0.556
Co2 0.340 0.660 0.944
Co3 0.660 0.340 0.056
Co4 0.660 0.340 0.444
Ge1 0.229 0.771 0.250
Ge2 0.771 0.229 0.750
C1 0.500 0.500 0.000
C2 0.500 0.500 0.500